1.
Here is a geometry-optimized TlCd3Hg2 structure from the Alexandria database. Energies are from PBE.

Its formation enthalpy at 0 K is 0.031 eV per atom. The value obtained for the spin magnetization is 0.00 μB per atom.

It has space group C2/m (No. 12), with a = 17.771 Å, b = 4.352 Å, c = 9.059 Å, α = 90.00°, β = 113.40° and γ = 90.00°. The distinct sites, in fractional coordinates, are Tl at (0.136, 0.000, 0.026), Cd at (0.055, 0.000, 0.412), Cd at (0.096, 0.500, 0.693), Cd at (0.189, 0.500, 0.470), Hg at (0.032, 0.500, 0.172) and Hg at (0.228, 0.000, 0.771).


2.
Here is a geometry-optimized PmTm3As4 structure from the Alexandria database. Energies are from PBE.

Its formation enthalpy at 0 K is -1.496 eV per atom. The value obtained for the spin magnetization is 0.00 μB per atom.

It has space group Pm-3m (No. 221), with a = 5.810 Å, b = 5.810 Å, c = 5.810 Å, α = 90.00°, β = 90.00° and γ = 90.00°. The distinct sites, in fractional coordinates, are Pm at (0.000, 0.000, 0.000), Tm at (0.000, 0.500, 0.500), As at (0.000, 0.000, 0.500) and As at (0.500, 0.500, 0.500).